First-principles (PBE) data for CaPa2AgS8 after structural relaxation, as listed in the Alexandria database.

VASP energy: -5.59 eV/atom
crystal system: trigonal

a = 6.3292 Å, b = 6.3292 Å, c = 7.5465 Å
α = 90.00°, β = 90.00°, γ = 120.00°
Closest atoms and distances in Å follow each position.
Element x y z (fractional)
Ca  0.0000  0.0000  0.5000  6 S 3.05
Pa  0.6667  0.3333  0.1029  1 S 2.42
Pa  0.3333  0.6667  0.8971  1 S 2.42
Ag  0.0000  0.0000  0.0000  6 S 2.43
S  0.8214  0.6429  0.8097  1 Ag 2.43
S  0.3571  0.1786  0.8097  1 Ag 2.43
S  0.8214  0.1786  0.8097  1 Ag 2.43
S  0.1786  0.3571  0.1903  1 Ag 2.43
S  0.6429  0.8214  0.1903  1 Ag 2.43
S  0.1786  0.8214  0.1903  1 Ag 2.43
S  0.6667  0.3333  0.4242  1 Pa 2.42
S  0.3333  0.6667  0.5758  1 Pa 2.42